First-principles (PBE) data for a relaxed structure of TbCeTlZn, as listed in Alexandria.

a = 5.307 Å, b = 5.307 Å, c = 5.307 Å
α = 60.00°, β = 60.00°, γ = 60.00°
Site moments in Bohr magnetons follow the coordinates.
Fractional coordinates of all 4 atoms:
Tl  0.250  0.250  0.250  -0.01
Tb  0.000  0.000  0.000  0.17
Zn  0.750  0.750  0.750  0.02
Ce  0.500  0.500  0.500  0.81

Results
- crystal system = cubic
- total magnetization (μB per atom) = 0.33
- calculated total energy (eV/atom) = -3.79


First-principles (PBE) data for a relaxed structure of Tb5CeTm12, as listed in Alexandria.

a = 6.105 Å, b = 6.103 Å, c = 17.155 Å
α = 86.60°, β = 83.19°, γ = 59.99°
Site moments in Bohr magnetons follow the coordinates.
Fractional coordinates of all 18 atoms:
Tb  0.500  0.000  0.500  0.01
Tb  0.167  0.667  0.500  0.01
Tb  0.833  0.333  0.500  0.01
Tb  0.667  0.667  0.000  0.04
Tb  0.333  0.333  0.000  0.04
Ce  0.000  0.000  0.000  0.69
Tm  0.889  0.000  0.331  -0.02
Tm  0.111  0.000  0.669  -0.02
Tm  0.724  0.000  0.834  0.01
Tm  0.276  0.000  0.166  0.01
Tm  0.388  0.668  0.834  0.01
Tm  0.944  0.668  0.166  0.01
Tm  0.056  0.332  0.834  0.01
Tm  0.612  0.332  0.166  0.01
Tm  0.444  0.333  0.669  -0.01
Tm  0.778  0.667  0.669  -0.01
Tm  0.222  0.333  0.331  -0.01
Tm  0.556  0.667  0.331  -0.01

Results
- crystal system = monoclinic
- total magnetization (μB per atom) = 0.05
- calculated total energy (eV/atom) = -4.58


First-principles (PBE) data for a relaxed structure of Tb5CeTm4, as listed in Alexandria.

a = 3.453 Å, b = 10.788 Å, c = 8.961 Å
α = 73.37°, β = 101.11°, γ = 90.00°
Site moments in Bohr magnetons follow the coordinates.
Fractional coordinates of all 10 atoms:
Tb  0.793  0.600  0.587  -0.02
Tb  0.895  0.285  0.790  0.00
Tb  0.105  0.715  0.210  0.00
Tb  0.500  0.500  0.000  -0.01
Tb  0.207  0.400  0.413  -0.02
Ce  0.500  0.000  0.000  0.43
Tm  0.303  0.082  0.607  0.01
Tm  0.906  0.810  0.812  0.02
Tm  0.697  0.918  0.393  0.01
Tm  0.094  0.190  0.188  0.02

Results
- crystal system = monoclinic
- distance to the lowest polymorph of the same formula (eV per atom) = 0.000
- total magnetization (μB per atom) = 0.05
- calculated total energy (eV/atom) = -4.59


First-principles (PBE) data for a relaxed structure of Tb4CeTm4, as listed in Alexandria.

a = 4.992 Å, b = 7.875 Å, c = 7.875 Å
α = 84.23°, β = 71.52°, γ = 71.52°
Site moments in Bohr magnetons follow the coordinates.
Fractional coordinates of all 9 atoms:
Tb  0.669  0.331  0.331  0.00
Tb  0.331  0.669  0.669  0.00
Tb  0.000  0.669  0.331  0.00
Tb  0.000  0.331  0.669  0.00
Ce  0.000  0.000  0.000  0.80
Tm  0.665  0.669  0.000  0.05
Tm  0.335  0.331  0.000  0.05
Tm  0.665  0.000  0.669  0.05
Tm  0.335  0.000  0.331  0.05

Results
- crystal system = tetragonal
- total magnetization (μB per atom) = 0.14
- calculated total energy (eV/atom) = -4.66


First-principles (PBE) data for a relaxed structure of Tb2CeTm6, as listed in Alexandria.

a = 6.163 Å, b = 5.600 Å, c = 19.370 Å
α = 106.82°, β = 118.39°, γ = 89.99°
Site moments in Bohr magnetons follow the coordinates.
Fractional coordinates of all 18 atoms:
Tb  0.328  0.530  0.279  0.03
Tb  0.666  0.417  0.167  0.02
Tb  0.672  0.470  0.721  0.03
Tb  0.334  0.583  0.833  0.02
Ce  0.997  0.029  0.279  0.62
Ce  0.003  0.971  0.721  0.62
Tm  0.327  0.248  0.498  0.04
Tm  0.665  0.806  0.056  0.03
Tm  0.673  0.752  0.502  0.04
Tm  0.335  0.194  0.944  0.03
Tm  0.000  0.695  0.945  0.02
Tm  0.333  0.861  0.611  0.06
Tm  0.000  0.305  0.055  0.02
Tm  0.667  0.139  0.389  0.06
Tm  0.331  0.917  0.166  0.05
Tm  0.001  0.640  0.389  0.04
Tm  0.669  0.083  0.834  0.05
Tm  0.999  0.360  0.611  0.04

Results
- crystal system = monoclinic
- distance to the lowest polymorph of the same formula (eV per atom) = 0.000
- total magnetization (μB per atom) = 0.12
- calculated total energy (eV/atom) = -4.64


First-principles (PBE) data for a relaxed structure of Tb9Ce4Tm11, as listed in Alexandria.

a = 3.640 Å, b = 14.896 Å, c = 14.896 Å
α = 112.43°, β = 90.00°, γ = 90.00°
Site moments in Bohr magnetons follow the coordinates.
Fractional coordinates of all 24 atoms:
Tb  0.500  0.634  0.160  -0.01
Tb  0.500  0.366  0.840  -0.01
Tb  0.500  0.160  0.634  -0.01
Tb  0.500  0.840  0.366  -0.01
Tb  0.500  0.786  0.932  0.01
Tb  0.500  0.214  0.068  0.01
Tb  0.500  0.932  0.786  0.01
Tb  0.500  0.068  0.214  0.01
Tb  0.500  0.500  0.500  0.01
Ce  0.500  0.552  0.749  0.76
Ce  0.500  0.448  0.251  0.76
Ce  0.500  0.749  0.552  0.76
Ce  0.500  0.251  0.448  0.76
Tm  0.000  0.591  0.951  0.03
Tm  0.000  0.409  0.049  0.03
Tm  0.000  0.951  0.591  0.03
Tm  0.000  0.049  0.409  0.03
Tm  0.000  0.639  0.361  0.10
Tm  0.000  0.361  0.639  0.10
Tm  0.000  0.842  0.158  -0.02
Tm  0.000  0.158  0.842  -0.02
Tm  0.000  0.000  0.000  -0.04
Tm  0.000  0.715  0.715  0.10
Tm  0.000  0.285  0.285  0.10

Results
- crystal system = orthorhombic
- total magnetization (μB per atom) = 0.17
- calculated total energy (eV/atom) = -4.68


First-principles (PBE) data for a relaxed structure of TbCeTm6, as listed in Alexandria.

a = 4.952 Å, b = 4.952 Å, c = 9.878 Å
α = 90.00°, β = 90.00°, γ = 90.00°
Site moments in Bohr magnetons follow the coordinates.
Fractional coordinates of all 8 atoms:
Tb  0.000  0.000  0.000  -0.07
Ce  0.000  0.000  0.500  0.66
Tm  0.500  0.500  0.000  -0.05
Tm  0.500  0.500  0.500  0.07
Tm  0.500  0.000  0.251  0.04
Tm  0.500  0.000  0.749  0.04
Tm  0.000  0.500  0.251  0.04
Tm  0.000  0.500  0.749  0.04

Results
- crystal system = tetragonal
- distance to the lowest polymorph of the same formula (eV per atom) = 0.000
- total magnetization (μB per atom) = 0.11
- calculated total energy (eV/atom) = -4.63


First-principles (PBE) data for a relaxed structure of Tb7CeTm12, as listed in Alexandria.

a = 8.585 Å, b = 8.585 Å, c = 8.585 Å
α = 90.26°, β = 90.26°, γ = 90.26°
Fractional coordinates of all 20 atoms:
Tb  0.968  0.673  0.064
Tb  0.327  0.936  0.032
Tb  0.936  0.032  0.327
Tb  0.500  0.500  0.500
Tb  0.064  0.968  0.673
Tb  0.673  0.064  0.968
Tb  0.032  0.327  0.936
Ce  0.000  0.000  0.000
Tm  0.773  0.232  0.626
Tm  0.768  0.374  0.227
Tm  0.459  0.126  0.350
Tm  0.874  0.650  0.541
Tm  0.374  0.227  0.768
Tm  0.650  0.541  0.874
Tm  0.350  0.459  0.126
Tm  0.626  0.773  0.232
Tm  0.126  0.350  0.459
Tm  0.541  0.874  0.650
Tm  0.232  0.626  0.773
Tm  0.227  0.768  0.374

Results
- crystal system = trigonal
- distance to the lowest polymorph of the same formula (eV per atom) = 0.000
- total magnetization (μB per atom) = 0.00
- calculated total energy (eV/atom) = -4.35


First-principles (PBE) data for a relaxed structure of TbCeTm4, as listed in Alexandria.

a = 6.454 Å, b = 6.454 Å, c = 10.434 Å
α = 90.00°, β = 90.00°, γ = 120.03°
Site moments in Bohr magnetons follow the coordinates.
Fractional coordinates of all 12 atoms:
Tb  0.169  0.831  0.750  0.09
Tb  0.831  0.169  0.250  0.09
Ce  0.000  0.000  0.000  0.80
Ce  0.000  0.000  0.500  0.80
Tm  0.664  0.336  0.932  0.10
Tm  0.336  0.664  0.432  0.10
Tm  0.336  0.664  0.068  0.10
Tm  0.664  0.336  0.568  0.10
Tm  0.342  0.168  0.250  0.11
Tm  0.658  0.832  0.750  0.11
Tm  0.168  0.342  0.750  0.11
Tm  0.832  0.658  0.250  0.11

Results
- crystal system = orthorhombic
- distance to the lowest polymorph of the same formula (eV per atom) = 0.230
- total magnetization (μB per atom) = 0.28
- calculated total energy (eV/atom) = -4.49


First-principles (PBE) data for a relaxed structure of Tb7CeTm2, as listed in Alexandria.

a = 3.459 Å, b = 10.198 Å, c = 10.198 Å
α = 108.70°, β = 90.00°, γ = 90.00°
Site moments in Bohr magnetons follow the coordinates.
Fractional coordinates of all 10 atoms:
Tb  0.000  0.676  0.324  -0.03
Tb  0.000  0.324  0.676  -0.03
Tb  0.500  0.126  0.390  -0.01
Tb  0.500  0.874  0.610  -0.01
Tb  0.500  0.390  0.126  -0.01
Tb  0.500  0.610  0.874  -0.01
Tb  0.500  0.500  0.500  0.01
Ce  0.000  0.000  0.000  0.72
Tm  0.500  0.834  0.166  0.01
Tm  0.500  0.166  0.834  0.01

Results
- crystal system = orthorhombic
- distance to the lowest polymorph of the same formula (eV per atom) = 0.000
- total magnetization (μB per atom) = 0.08
- calculated total energy (eV/atom) = -4.29


First-principles (PBE) data for a relaxed structure of TbCeTm3, as listed in Alexandria.

a = 6.158 Å, b = 9.855 Å, c = 10.566 Å
α = 109.45°, β = 90.00°, γ = 90.00°
Fractional coordinates of all 20 atoms:
Tb  0.560  0.493  0.171
Tb  0.940  0.993  0.671
Tb  0.060  0.007  0.329
Tb  0.440  0.507  0.829
Ce  0.703  0.513  0.464
Ce  0.797  0.013  0.964
Ce  0.203  0.987  0.036
Ce  0.297  0.487  0.536
Tm  0.587  0.176  0.273
Tm  0.110  0.705  0.406
Tm  0.913  0.676  0.773
Tm  0.598  0.843  0.415
Tm  0.390  0.205  0.906
Tm  0.098  0.657  0.085
Tm  0.902  0.343  0.915
Tm  0.610  0.795  0.094
Tm  0.402  0.157  0.585
Tm  0.087  0.324  0.227
Tm  0.890  0.295  0.594
Tm  0.413  0.824  0.727

Results
- crystal system = monoclinic
- distance to the lowest polymorph of the same formula (eV per atom) = 0.000
- total magnetization (μB per atom) = 0.00
- calculated total energy (eV/atom) = -4.67


First-principles (PBE) data for a relaxed structure of Tb12CeTm6, as listed in Alexandria.

a = 8.664 Å, b = 8.664 Å, c = 8.664 Å
α = 99.44°, β = 99.44°, γ = 99.44°
Site moments in Bohr magnetons follow the coordinates.
Fractional coordinates of all 19 atoms:
Tb  0.757  0.243  0.500  -0.01
Tb  0.350  0.078  0.350  0.02
Tb  0.350  0.350  0.078  0.02
Tb  0.922  0.650  0.650  0.02
Tb  0.650  0.650  0.922  0.02
Tb  0.650  0.922  0.650  0.02
Tb  0.500  0.757  0.243  -0.01
Tb  0.243  0.500  0.757  -0.01
Tb  0.243  0.757  0.500  -0.01
Tb  0.500  0.243  0.757  -0.01
Tb  0.757  0.500  0.243  -0.01
Tb  0.078  0.350  0.350  0.02
Ce  0.000  0.000  0.000  0.99
Tm  0.896  0.335  0.896  0.09
Tm  0.896  0.896  0.335  0.09
Tm  0.335  0.896  0.896  0.09
Tm  0.104  0.104  0.665  0.09
Tm  0.104  0.665  0.104  0.09
Tm  0.665  0.104  0.104  0.09

Results
- crystal system = trigonal
- total magnetization (μB per atom) = 0.11
- calculated total energy (eV/atom) = -4.44


| no. | formation energy from the elements (eV/atom) |
| --- | --- |
| 1 | -0.242 |
| 2 | 0.018 |
| 3 | 0.109 |
| 4 | 0.043 |
| 5 | 0.032 |
| 6 | 0.098 |
| 7 | 0.046 |
| 8 | 0.252 |
| 9 | 0.249 |
| 10 | 0.441 |
| 11 | 0.130 |
| 12 | 0.210 |